Below is a relaxed structure of Sr2LaMn, with properties calculated at the GGA-PBEsol level.

abc: 4.923 4.923 5.613
angles: 90.00 90.00 90.00
Space group P4/mmm (No. 123)
Asymmetric unit:
Sr: 0.000 0.500 0.000 (multiplicity 2)
La: 0.000 0.000 0.500 (multiplicity 1)
Mn: 0.500 0.500 0.500 (multiplicity 1)

Output
Energy above the most stable polymorph in this dataset: 246.5 meV/atom
VASP energy: -4.11 eV per atom
Formation energy: 2.33 eV per formula unit
D(E_F): 6.5 states/eV per cell

Below is a relaxed structure of TaAlIr, with properties calculated at the GGA-PBEsol level.

abc: 2.898 2.898 10.745
angles: 90.00 90.00 90.00
Space group I4mm (No. 107)
Asymmetric unit:
Ta: 0.000 0.000 0.000 (multiplicity 2)
Al: 0.000 0.000 0.318 (multiplicity 2)
Ir: 0.000 0.000 0.673 (multiplicity 2)

Output
VASP energy: -9.43 eV per atom
Formation energy: -1.83 eV per formula unit
D(E_F): 3.9 states/eV per cell

Below is a relaxed structure of CsAsF3, with properties calculated at the GGA-PBEsol level.

abc: 4.470 4.470 4.470
angles: 90.00 90.00 90.00
Space group Pm-3m (No. 221)
Asymmetric unit:
Cs: 0.000 0.000 0.000 (multiplicity 1)
As: 0.500 0.500 0.500 (multiplicity 1)
F: 0.000 0.500 0.500 (multiplicity 3)

Output
VASP energy: -4.28 eV per atom
D(E_F): 2.4 states/eV per cell

Below is a relaxed structure of ZrSc, with properties calculated at the GGA-PBEsol level.

abc: 3.2230 3.2230 10.1566
angles: 90.00 90.00 120.00
Space group P-3m1 (No. 164)
Asymmetric unit:
Zr: 0.3333 0.6667 0.3758 (multiplicity 2)
Sc: 0.3333 0.6667 0.8707 (multiplicity 2)

Output
VASP energy: -7.84 eV per atom
Formation energy: 0.01 eV per formula unit
D(E_F): 6.6 states/eV per cell

Below is a relaxed structure of MnBTeI2, with properties calculated at the GGA-PBEsol level.

abc: 6.188 6.188 4.415
angles: 90.00 90.00 90.00
Space group P4/mmm (No. 123)
Asymmetric unit:
Mn: 0.000 0.000 0.000 (multiplicity 1)
B: 0.500 0.500 0.000 (multiplicity 1)
Te: 0.500 0.500 0.500 (multiplicity 1)
I: 0.000 0.500 0.500 (multiplicity 2)

Output
VASP energy: -3.42 eV per atom
D(E_F): 3.1 states/eV per cell

Below is a relaxed structure of CuAg3P, with properties calculated at the GGA-PBEsol level.

abc: 4.608 4.608 4.608
angles: 90.00 90.00 90.00
Space group Pm-3m (No. 221)
Asymmetric unit:
Cu: 0.000 0.000 0.000 (multiplicity 1)
Ag: 0.000 0.500 0.500 (multiplicity 3)
P: 0.500 0.500 0.500 (multiplicity 1)

Output
VASP energy: -3.45 eV per atom
Formation energy: 2.83 eV per formula unit
D(E_F): 1.3 states/eV per cell